DFT (PBE) results for a geometry-optimized PaSbTe structure.

For the energy relative to the elements, uncorrected, the calculation gives -0.6298 eV per atom. As for the space group: I4mm. The calculation puts the total energy at -6.22 eV per atom.

Lattice parameters (Å, degrees): 3.987 3.987 5.732 110.35 110.35 90.00
Fractional positions:
Sb 0.324 0.324 0.647
Pa 0.667 0.667 0.335
Te 0.009 0.009 0.018

=====

DFT (PBE) results for a geometry-optimized La2TbDy6Ho3 structure.

As for the space group: C2/m. The calculation puts the total energy at -4.63 eV per atom.

Lattice parameters (Å, degrees): 6.195 6.195 11.836 95.00 95.00 119.99
Fractional positions:
La 0.333 0.667 0.000
La 0.667 0.333 0.000
Tb 0.000 0.000 0.000
Dy 0.915 0.582 0.745
Dy 0.753 0.753 0.255
Dy 0.085 0.418 0.255
Dy 0.582 0.915 0.745
Dy 0.247 0.247 0.745
Dy 0.418 0.085 0.255
Ho 0.166 0.834 0.500
Ho 0.834 0.166 0.500
Ho 0.500 0.500 0.500

=====

DFT (PBE) results for a geometry-optimized HgTe2Au structure.

For the energy relative to the elements, uncorrected, the calculation gives 0.2648 eV per atom. As for the space group: Pmmm. The calculation puts the total energy at -2.20 eV per atom.

Lattice parameters (Å, degrees): 3.080 4.138 8.498 90.00 90.00 90.00
Fractional positions:
Au 0.500 0.500 0.250
Hg 0.500 0.500 0.750
Te 0.000 0.000 0.039
Te 0.000 0.000 0.461